No. 1
KPRu2: optimized geometry, GGA-PBE.

a = 6.3432 Å, b = 3.6607 Å, c = 7.9279 Å
α = 90.00°, β = 105.14°, γ = 90.00°
With the nearest neighbours (Å) after each atom.
Space group C2/m (No. 12)
Unique sites:
K: 0.0000 0.0000 0.0000  6 Ru 3.60-3.62, 6 K 3.66
P: 0.0000 0.5000 0.5000  6 Ru 2.30
Ru: 0.2048 0.0000 0.6169  3 P 2.30

Values from the calculation:
The value obtained for the total magnetic moment is 0.00 μB/cell. The formation energy comes out at 0.0909 eV per atom.

No. 2
RbCoOs: optimized geometry, GGA-PBE.

a = 4.5287 Å, b = 4.5521 Å, c = 11.1236 Å
α = 80.58°, β = 79.39°, γ = 66.00°
With the nearest neighbours (Å) after each atom.
Space group P1 (No. 1)
Unique sites:
Rb: 0.0000 0.0000 0.0000  1 Co 3.27, 1 Os 3.43
Rb: 0.4528 0.5350 0.4308  1 Co 3.28, 2 Os 3.43-3.66
Co: 0.4818 0.7847 0.6873  2 Co 2.33-2.36, 4 Os 2.41-2.49
Co: 0.9613 0.7644 0.7435  2 Co 2.33-2.36, 4 Os 2.41-2.49
Os: 0.4566 0.2654 0.7610  4 Co 2.41-2.49, 2 Os 2.46-2.49
Os: 0.9867 0.2837 0.6700  4 Co 2.41-2.49, 2 Os 2.46-2.49

Values from the calculation:
The value obtained for the total magnetic moment is 0.00 μB/cell. The formation energy comes out at 0.6747 eV per atom. As for the energy above the most stable polymorph in this dataset: 22 meV/atom.

No. 3
HfUCo6: optimized geometry, GGA-PBE.

a = 5.2765 Å, b = 5.2765 Å, c = 3.7191 Å
α = 90.00°, β = 90.00°, γ = 90.00°
With the nearest neighbours (Å) after each atom.
Space group P4/mmm (No. 123)
Unique sites:
Hf: 0.0000 0.0000 0.0000  12 Co 2.64-2.66
U: 0.5000 0.5000 0.0000  12 Co 2.61-2.64
Co: 0.0000 0.5000 0.0000  8 Co 2.63, 2 U 2.64, 2 Hf 2.64
Co: 0.2542 0.2542 0.5000  8 Co 2.59-2.68, 2 U 2.61, 2 Hf 2.66

Values from the calculation:
The value obtained for the total magnetic moment is 3.12 μB/cell. The formation energy comes out at -0.2868 eV per atom.

No. 4
FeIr2W: optimized geometry, GGA-PBE.

a = 5.4637 Å, b = 7.6112 Å, c = 2.7505 Å
α = 90.00°, β = 90.00°, γ = 90.00°
With the nearest neighbours (Å) after each atom.
Space group Cmmm (No. 65)
Unique sites:
Fe: 0.0000 0.0000 0.0000  8 Ir 2.72, 2 W 2.73, 2 Fe 2.75
Ir: 0.2500 0.2500 0.5000  4 W 2.72, 4 Fe 2.72, 4 Ir 2.73-2.75
W: 0.0000 0.5000 0.0000  8 Ir 2.72, 2 Fe 2.73, 2 W 2.75

Values from the calculation:
The value obtained for the total magnetic moment is 4.20 μB/cell. The formation energy comes out at -0.1337 eV per atom. As for the energy above the most stable polymorph in this dataset: 103 meV/atom.

No. 5
Hf3CuRu: optimized geometry, GGA-PBE.

a = 4.7458 Å, b = 4.7458 Å, c = 4.7458 Å
α = 90.00°, β = 90.00°, γ = 90.00°
With the nearest neighbours (Å) after each atom.
Space group Pm-3m (No. 221)
Unique sites:
Hf: 0.0000 0.0000 0.5000  2 Cu 2.37
Cu: 0.0000 0.0000 0.0000  6 Hf 2.37
Ru: 0.5000 0.5000 0.5000  12 Hf 3.36

Values from the calculation:
The value obtained for the total magnetic moment is 0.00 μB/cell. The formation energy comes out at 0.7722 eV per atom. As for the energy above the most stable polymorph in this dataset: 218 meV/atom.

No. 6
CsRb3Pd: optimized geometry, GGA-PBE.

a = 11.5646 Å, b = 4.9631 Å, c = 13.4190 Å
α = 90.00°, β = 111.96°, γ = 90.00°
With the nearest neighbours (Å) after each atom.
Space group P2_1/m (No. 11)
Unique sites:
Cs: 0.1782 0.2500 0.4299  2 Cs 4.96, 8 Rb 5.19-5.51
Rb: 0.1892 0.7500 0.0941  1 Pd 3.74
Rb: 0.2325 0.2500 0.8471  1 Pd 3.31
Rb: 0.4863 0.7500 0.7730  3 Pd 3.30-3.69
Pd: 0.4642 0.7500 0.0111  2 Pd 2.67

Values from the calculation:
The value obtained for the total magnetic moment is 0.00 μB/cell. The formation energy comes out at 0.0482 eV per atom. As for the energy above the most stable polymorph in this dataset: 0 meV/atom.

No. 7
RbAg3I3: optimized geometry, GGA-PBE.

a = 8.3528 Å, b = 8.3528 Å, c = 8.3528 Å
α = 90.00°, β = 90.00°, γ = 90.00°
With the nearest neighbours (Å) after each atom.
Space group Pm-3n (No. 223)
Unique sites:
Rb: 0.0000 0.0000 0.0000  12 I 4.67, 12 Ag 4.67
Ag: 0.0000 0.2500 0.5000  4 I 2.95
I: 0.0000 0.5000 0.2500  4 Ag 2.95

Values from the calculation:
The value obtained for the total magnetic moment is 0.00 μB/cell. The uncorrected formation energy is -0.244 eV per atom.

No. 8
Ba2LaW: optimized geometry, GGA-PBE.

a = 5.4818 Å, b = 5.4818 Å, c = 8.8260 Å
α = 90.00°, β = 90.00°, γ = 90.00°
With the nearest neighbours (Å) after each atom.
Space group I-4m2 (No. 119)
Unique sites:
Ba: 0.0000 0.0000 0.0000  4 Ba 3.52, 4 La 3.52, 4 W 3.88
Ba: 0.0000 0.5000 0.2500  4 Ba 3.52, 4 W 3.52, 4 La 3.88
La: 0.0000 0.5000 0.7500  8 Ba 3.52-3.88, 4 W 3.52
W: 0.0000 0.0000 0.5000  8 Ba 3.52-3.88, 4 La 3.52

Values from the calculation:
The value obtained for the total magnetic moment is 2.41 μB/cell. The formation energy comes out at 1.0450 eV per atom. As for the energy above the most stable polymorph in this dataset: 311 meV/atom.

No. 9
Sm3Bi2Pb: optimized geometry, GGA-PBE.

a = 4.4825 Å, b = 6.4418 Å, c = 13.8107 Å
α = 90.00°, β = 90.00°, γ = 90.00°
With the nearest neighbours (Å) after each atom.
Space group Immm (No. 71)
Unique sites:
Sm: 0.0000 0.0000 0.0000  4 Bi 3.22, 2 Pb 3.22
Sm: 0.0000 0.0000 0.3319  4 Bi 3.19-3.22, 2 Pb 3.23
Bi: 0.0000 0.5000 0.3329  6 Sm 3.19-3.22
Pb: 0.0000 0.5000 0.0000  6 Sm 3.22-3.23

Values from the calculation:
The value obtained for the total magnetic moment is 0.00 μB/cell. The formation energy comes out at -0.7492 eV per atom.

No. 10
AcLa2CdCo: optimized geometry, GGA-PBE.

a = 7.9322 Å, b = 4.1550 Å, c = 9.6631 Å
α = 90.00°, β = 93.56°, γ = 90.00°
With the nearest neighbours (Å) after each atom.
Space group P2_1/m (No. 11)
Unique sites:
Ac: 0.2134 0.2500 0.4351  1 Co 2.96
La: 0.0819 0.2500 0.8334  3 Co 2.85-2.88
La: 0.3625 0.7500 0.1041  2 Co 2.66
Cd: 0.3753 0.7500 0.7056  4 La 3.40-3.41, 3 Ac 3.52-3.61
Co: 0.1566 0.2500 0.1291  5 La 2.66-2.88, 1 Ac 2.96

Values from the calculation:
The value obtained for the total magnetic moment is 0.00 μB/cell. The formation energy comes out at -0.1468 eV per atom.

No. 11
FeHgRu2: optimized geometry, GGA-PBE.

a = 2.9691 Å, b = 2.9691 Å, c = 6.9192 Å
α = 90.00°, β = 90.00°, γ = 90.00°
With the nearest neighbours (Å) after each atom.
Space group P4/mmm (No. 123)
Unique sites:
Fe: 0.0000 0.0000 0.0000  8 Ru 2.52
Hg: 0.0000 0.0000 0.5000  8 Ru 2.95, 4 Hg 2.97
Ru: 0.5000 0.5000 0.2009  4 Fe 2.52, 1 Ru 2.78

Values from the calculation:
The value obtained for the total magnetic moment is 2.29 μB/cell. The formation energy comes out at 0.3610 eV per atom.

No. 12
Tb8Pm3Sm4: optimized geometry, GGA-PBE.

a = 13.5013 Å, b = 12.8566 Å, c = 6.8176 Å
α = 90.00°, β = 120.31°, γ = 90.00°
With the nearest neighbours (Å) after each atom.
Space group C2/m (No. 12)
Unique sites:
Tb: 0.0000 0.1414 0.0000  7 Tb 3.64-3.66, 4 Pm 3.65-3.86, 2 Sm 3.65
Tb: 0.0000 0.2443 0.5000  3 Pm 3.14-3.38, 3 Sm 3.29-3.38
Tb: 0.2325 0.0000 0.9943  3 Pm 3.22-3.25, 2 Tb 3.25-3.57, 2 Sm 3.52-3.59
Tb: 0.2332 0.0000 0.4719  4 Sm 3.22-3.58, 1 Pm 3.25, 2 Tb 3.25-3.57
Pm: 0.0000 0.0000 0.5000  6 Tb 3.14-3.25
Pm: 0.2500 0.2500 0.0000  4 Tb 3.22-3.38, 2 Sm 3.41
Sm: 0.0000 0.5000 0.0000  2 Sm 3.41, 4 Tb 3.58-3.59
Sm: 0.0000 0.5000 0.5000  6 Tb 3.29-3.52, 2 Sm 3.41
Sm: 0.2500 0.2500 0.5000  4 Tb 3.22-3.38, 2 Pm 3.41

Values from the calculation:
The value obtained for the total magnetic moment is 0.00 μB/cell. The formation energy comes out at 0.3642 eV per atom.

no.,DOS at the Fermi energy (states/eV/atom)
1,0.267
2,1.101
3,1.024
4,0.849
5,1.522
6,0.610
7,0.298
8,1.369
9,0.464
10,1.119
11,0.957
12,1.954